# MnAlRe2 (PBE, relaxed)
# **Final energy**: -9.427 eV/atom
# **Fermi-level density of states**: 2.47 states/eV per cell
# **Symmetry**: Cmmm
# **Total moment**: 2.1 μB/f.u.
# **Crystal system**: orthorhombic
data_MnAlRe2
_symmetry_space_group_name_H-M 'P 1'
_symmetry_Int_Tables_number 1
_symmetry_space_group_name_Hall 'P 1'
_cell_length_a 2.676
_cell_length_b 2.676
_cell_length_c 8.383
_cell_angle_alpha 90.00
_cell_angle_beta 90.00
_cell_angle_gamma 109.24
loop_
_atom_site_label
_atom_site_type_symbol
_atom_site_fract_x
_atom_site_fract_y
_atom_site_fract_z
_atom_site_occupancy
Re1 Re 0.000 0.000 0.993 1
Re2 Re 0.000 0.000 0.507 1
Mn1 Mn 0.500 0.500 0.750 1
Al1 Al 0.500 0.500 0.250 1

=====

# YSn3S (PBE, relaxed)
# **Fermi-level density of states**: 4.41 states/eV per cell
# **Symmetry**: Pm-3m
# **Energy above the most stable polymorph in this dataset**: 0.0000 eV/atom
# **Total moment**: 0.0 μB/f.u.
# **Crystal system**: cubic
# **Formation energy from raw total energies**: 1.9 kJ per mole of atoms
data_YSn3S
_symmetry_space_group_name_H-M 'P 1'
_symmetry_Int_Tables_number 1
_symmetry_space_group_name_Hall 'P 1'
_cell_length_a 5.249
_cell_length_b 5.249
_cell_length_c 5.249
_cell_angle_alpha 90.00
_cell_angle_beta 90.00
_cell_angle_gamma 90.00
loop_
_atom_site_label
_atom_site_type_symbol
_atom_site_fract_x
_atom_site_fract_y
_atom_site_fract_z
_atom_site_occupancy
Y1 Y 0.500 0.500 0.500 1
S1 S 0.000 0.000 0.000 1
Sn1 Sn 0.000 0.500 0.000 1
Sn2 Sn 0.000 0.000 0.500 1
Sn3 Sn 0.500 0.000 0.000 1